<1>
DFT (GGA+U) results for crystalline VSeN2F at its relaxed geometry.

a b c (Å): 4.040 4.040 4.000
angles (deg): 90.00 90.00 90.00
Space group P4/mmm (No. 123)
Symmetry-distinct sites (fractional):
1 V 0.000 0.000 0.000 [1 per cell]
2 Se 0.500 0.500 0.000 [1 per cell]
3 N 0.000 0.500 0.500 [2 per cell]
4 F 0.500 0.500 0.500 [1 per cell]


<2>
DFT (GGA+U) results for crystalline VSeN2F at its relaxed geometry.

a b c (Å): 3.923 3.923 4.015
angles (deg): 90.00 90.00 90.00
Space group P4/mmm (No. 123)
Symmetry-distinct sites (fractional):
1 V 0.000 0.000 0.000 [1 per cell]
2 Se 0.500 0.500 0.500 [1 per cell]
3 N 0.000 0.500 0.500 [2 per cell]
4 F 0.500 0.500 0.000 [1 per cell]


Most stable: <2>


<1>
DFT (GGA+U) results for crystalline WSe2NF at its relaxed geometry.

a b c (Å): 4.571 4.571 4.029
angles (deg): 90.00 90.00 90.00
Space group P4/mmm (No. 123)
Symmetry-distinct sites (fractional):
1 W 0.000 0.000 0.000 [1 per cell]
2 Se 0.000 0.500 0.500 [2 per cell]
3 N 0.500 0.500 0.000 [1 per cell]
4 F 0.500 0.500 0.500 [1 per cell]


<2>
DFT (GGA+U) results for crystalline WSe2NF at its relaxed geometry.

a b c (Å): 5.060 5.060 3.884
angles (deg): 90.00 90.00 90.00
Space group P4/mmm (No. 123)
Symmetry-distinct sites (fractional):
1 W 0.000 0.000 0.000 [1 per cell]
2 Se 0.000 0.500 0.000 [2 per cell]
3 N 0.000 0.000 0.500 [1 per cell]
4 F 0.500 0.500 0.500 [1 per cell]


Most stable: <2>